Record 1
Density functional theory data (GGA-PBE) for crystalline Y5Be at its relaxed geometry.

Lattice parameters (Å, degrees): 8.739 8.739 5.454 90.00 90.00 155.83
Positions (direct):
Y: 0.341 0.659 0.000
Y: 0.646 0.354 0.000
Y: 0.457 0.543 0.500
Y: 0.781 0.219 0.500
Y: 0.109 0.891 0.500
Be: 0.000 0.000 0.000

## Properties
Space-group type ... Amm2

Record 2
Density functional theory data (GGA-PBE) for crystalline Y5Be at its relaxed geometry.

Lattice parameters (Å, degrees): 6.317 6.317 5.803 90.00 90.00 120.00
Positions (direct):
Y: 0.333 0.667 0.000
Y: 0.667 0.333 0.000
Y: 0.500 0.000 0.500
Y: 0.000 0.500 0.500
Y: 0.500 0.500 0.500
Be: 0.000 0.000 0.000

## Properties
Space-group type ... P6/mmm

Record 3
Density functional theory data (GGA-PBE) for crystalline YBe at its relaxed geometry.

Lattice parameters (Å, degrees): 3.420 3.420 3.420 90.00 90.00 90.00
Positions (direct):
Y: 0.500 0.500 0.500
Be: 0.000 0.000 0.000

## Properties
Space-group type ... Pm-3m

Record 4
Density functional theory data (GGA-PBE) for crystalline YBe at its relaxed geometry.

Lattice parameters (Å, degrees): 3.143 3.143 7.958 90.00 90.00 90.00
Positions (direct):
Y: 0.250 0.250 0.683
Y: 0.750 0.750 0.317
Be: 0.250 0.250 0.056
Be: 0.750 0.750 0.944

## Properties
Space-group type ... P4/nmm

Number 1: energy of formation 209 meV per atom, M_tot 0.0 Bohr magnetons per cell. Number 2: energy of formation 876 meV per atom, M_tot 0.0 Bohr magnetons per cell. Number 3: energy of formation 89 meV per atom, M_tot 0.0 Bohr magnetons per cell. Number 4: energy of formation 292 meV per atom, M_tot 0.0 Bohr magnetons per cell.